Record 1
## ScFeRh3 (PBE)

Data for an optimized crystal structure of ScFeRh3.

POSCAR file:
```
ScFeRh3
1.0
4.482 0.000 0.000
0.000 4.482 0.000
0.000 0.000 4.482
Rh Sc Fe
3 1 1
direct
0.500 0.000 0.000
0.000 0.000 0.500
0.000 0.500 0.000
0.500 0.500 0.500
0.000 0.000 0.000
```

As for the energy relative to the lowest polymorph listed for this composition: 0 meV per atom. Its total energy is -7.046 eV/atom. As for the density: 7.555 g/cm³.

Record 2
## BeB2I (PBE)

Data for an optimized crystal structure of BeB2I.

POSCAR file:
```
BeB2I
1.0
4.826 0.000 0.000
0.000 4.826 0.000
2.413 2.413 5.216
I B Be
2 4 2
direct
0.750 0.250 0.500
0.000 0.000 0.000
0.375 0.467 0.750
0.217 0.625 0.250
0.875 0.783 0.750
0.533 0.125 0.250
0.500 0.500 0.000
0.250 0.750 0.500
```

As for the energy relative to the lowest polymorph listed for this composition: 0 meV per atom. Its total energy is -3.351 eV/atom. Its formation energy from raw total energies is 1307 meV/atom. As for the density: 4.306 g/cm³.

Record 3
## LaInMo2 (PBE)

Data for an optimized crystal structure of LaInMo2.

POSCAR file:
```
LaInMo2
1.0
-1.529 -2.060 -4.260
3.112 -0.535 -0.858
-0.044 -4.996 2.432
Mo In La
2 1 1
direct
0.000 0.051 0.938
0.000 0.449 0.562
0.500 0.250 0.250
0.500 0.750 0.750
```

Its total energy is -6.802 eV/atom. As for the density: 8.186 g/cm³.

Record 4
## NbTc2Hg (PBE)

Data for an optimized crystal structure of NbTc2Hg.

POSCAR file:
```
NbTc2Hg
1.0
4.014 0.000 0.000
0.000 4.014 0.000
2.007 2.007 9.460
Nb Tc Hg
2 4 2
direct
0.500 0.500 0.000
0.250 0.750 0.500
0.375 0.450 0.750
0.200 0.625 0.250
0.875 0.800 0.750
0.550 0.125 0.250
0.750 0.250 0.500
0.000 0.000 0.000
```

As for the energy relative to the lowest polymorph listed for this composition: 445 meV per atom. Its total energy is -6.982 eV/atom. As for the density: 10.664 g/cm³.

Record 5
## BaAgAsSe2 (PBE)

Data for an optimized crystal structure of BaAgAsSe2.

POSCAR file:
```
BaAgAsSe2
1.0
-2.521 -1.562 -5.361
-1.115 -5.622 2.163
-5.547 1.891 2.057
Se Ba Ag As
2 1 1 1
direct
0.000 0.500 0.000
0.500 0.000 0.000
0.000 0.000 0.000
0.500 0.500 0.500
0.000 0.000 0.500
```

As for the energy relative to the lowest polymorph listed for this composition: 1072 meV per atom. Its total energy is -2.617 eV/atom. Its formation energy from raw total energies is 662 meV/atom. As for the density: 3.406 g/cm³.

Record 6
## RbY2Ru (PBE)

Data for an optimized crystal structure of RbY2Ru.

POSCAR file:
```
RbY2Ru
1.0
8.230 0.000 0.000
0.000 8.230 0.000
4.115 4.115 5.834
Y Rb Ru
4 2 2
direct
0.875 0.125 0.750
0.375 0.125 0.750
0.875 0.125 0.250
0.875 0.625 0.250
0.250 0.750 0.500
0.500 0.500 0.000
0.750 0.250 0.500
0.000 0.000 0.000
```

As for the energy relative to the lowest polymorph listed for this composition: 0 meV per atom. Its total energy is -5.350 eV/atom. As for the density: 3.063 g/cm³.